No. 1
The following is a GGA-PBE calculation of a relaxed structure of BeFeCu, from OQMD.

Structure (POSCAR):
```
BeFeCu
1.0
2.6733 0.3507 2.4333
1.9461 3.0637 0.1308
-0.3835 2.2767 2.8036
Be Cu Fe
1 1 1
Cartesian
0.0000 0.0000 0.0000
1.0590 1.4228 1.3419
3.1769 4.2683 4.0258
```

Summary:
symmetry = F-43m (216)
spin magnetization = 1.9 μB per cell
energy above the lowest structure with this stoichiometry = 0.000 eV/atom

---

No. 2
The following is a GGA-PBE calculation of a relaxed structure of PrHoFe2Si2, from OQMD.

Structure (POSCAR):
```
PrHoFe2Si2
1.0
4.0392 0.0000 0.0000
0.0000 4.0392 0.0000
0.0000 0.0000 6.6971
Fe Ho Pr Si
2 1 1 2
Cartesian
2.0196 0.0000 6.6480
0.0000 2.0196 6.6480
0.0000 0.0000 4.6555
2.0196 2.0196 2.2122
0.0000 0.0000 1.1047
2.0196 2.0196 5.5198
```

Summary:
symmetry = P4mm (99)
spin magnetization = 0.0 μB per cell
DFT total energy = -6.732 eV per atom

---

No. 3
The following is a GGA-PBE calculation of a relaxed structure of HoErNi8B2, from OQMD.

Structure (POSCAR):
```
HoErNi8B2
1.0
4.9672 0.0000 0.0000
-2.4836 4.3017 0.0000
0.0000 0.0000 6.9591
B Er Ho Ni
2 1 1 8
Cartesian
2.4836 1.4339 0.0000
0.0000 2.8678 0.0000
0.0000 0.0000 3.4796
0.0000 0.0000 0.0000
2.4836 0.0000 1.4487
-1.2418 2.1509 1.4487
1.2418 2.1509 1.4487
2.4836 1.4339 3.4796
0.0000 2.8678 3.4796
2.4836 0.0000 5.5104
-1.2418 2.1509 5.5104
1.2418 2.1509 5.5104
```

Summary:
symmetry = P6/mmm (191)
spin magnetization = 0.0 μB per cell
energy above the lowest structure with this stoichiometry = 0.003 eV/atom

---

No. 4
The following is a GGA-PBE calculation of a relaxed structure of Cs2NiPt2S4, from OQMD.

Structure (POSCAR):
```
Cs2NiPt2S4
1.0
0.0000 5.1757 7.1782
3.2772 0.0000 7.1782
3.2772 5.1757 0.0000
Cs Ni Pt S
2 1 2 4
Cartesian
3.2772 5.1757 9.4499
3.2772 5.1757 4.9065
0.0000 0.0000 0.0000
1.6386 2.5878 7.1782
1.6386 2.5878 0.0000
3.2772 1.6840 8.6327
3.2772 1.6840 5.7237
3.2772 8.6673 8.6327
3.2772 8.6673 5.7237
```

Summary:
symmetry = Fmmm (69)
spin magnetization = 0.0 μB per cell
DFT total energy = -4.743 eV per atom

---

No. 5
The following is a GGA-PBE calculation of a relaxed structure of KHfNO, from OQMD.

Structure (POSCAR):
```
KHfNO
1.0
-2.7679 -1.8284 2.6156
2.0582 -3.6688 -0.3865
5.9343 2.4848 8.0168
Hf K N O
2 2 2 2
Cartesian
1.4058 -1.0461 5.8735
3.8188 -1.9663 4.3725
0.6512 -1.0273 1.6767
4.5734 -1.9850 8.5693
2.2169 -2.9717 5.3858
3.0077 -0.0406 4.8601
-1.5614 -2.2885 1.8651
0.8517 -3.2087 0.3641
```

Summary:
symmetry = P4/nmm (129)
spin magnetization = 2.3 μB per cell
energy above the lowest structure with this stoichiometry = 1.289 eV/atom

---

No. 6
The following is a GGA-PBE calculation of a relaxed structure of TlAgMoSe3, from OQMD.

Structure (POSCAR):
```
TlAgMoSe3
1.0
-0.7276 5.0109 -5.7379
0.4416 1.8608 -7.4097
-9.7894 -2.9328 -1.3199
Ag Mo Se Tl
2 2 6 2
Cartesian
-2.6086 3.1417 -7.7438
-7.4668 0.7972 -6.7237
0.0000 0.0000 0.0000
-4.8947 -1.4664 -0.6600
-0.3423 4.2344 -8.2178
-2.7152 5.7025 -12.6433
-4.9090 2.8663 -8.8336
-5.1664 1.0726 -5.6339
-7.3602 -1.7636 -1.8242
-9.7331 -0.2956 -6.2497
-2.5192 0.9935 -3.6337
-7.5562 2.9453 -10.8338
```

Summary:
symmetry = Cmcm (63)
spin magnetization = 4.0 μB per cell
DFT total energy = -4.572 eV per atom